Entry 1:
ScReP2N GGA-PBEsol optimized geometry; ΔE_f (raw) = 0.053 eV per atom; E_tot = -7.956 eV/atom; D(E_F) = 2.5 states/eV/f.u.; crystal system = tetragonal
1.0
4.3467 0.0000 0.0000
0.0000 4.3467 0.0000
0.0000 0.0000 3.7567
Sc Re P N
1 1 2 1
Cartesian
0.0000 0.0000 0.0000
2.1734 2.1734 0.0000
0.0000 2.1734 1.8784
2.1734 0.0000 1.8784
2.1734 2.1734 1.8784

Entry 2:
LiMnSi2 GGA-PBEsol optimized geometry; ΔE_f (raw) = -0.250 eV per atom; E_tot = -6.056 eV/atom; D(E_F) = 1.0 states/eV/f.u.; crystal system = tetragonal
1.0
2.8950 0.0000 0.0000
0.0000 2.8950 0.0000
0.0000 0.0000 5.4322
Li Mn Si
1 1 2
Cartesian
0.0000 0.0000 0.0000
0.0000 0.0000 2.7161
1.4475 1.4475 1.4430
1.4475 1.4475 3.9892

Entry 3:
GaSi3As GGA-PBEsol optimized geometry; ΔE_f (raw) = 0.987 eV per atom; E_tot = -4.150 eV/atom; D(E_F) = 1.8 states/eV/f.u.; crystal system = cubic
1.0
4.7215 0.0000 0.0000
0.0000 4.7215 0.0000
0.0000 0.0000 4.7215
Ga Si As
1 3 1
Cartesian
0.0000 0.0000 0.0000
0.0000 2.3607 2.3607
2.3607 0.0000 2.3607
2.3607 2.3607 0.0000
2.3607 2.3607 2.3607

Entry 4:
TlZn2Fe GGA-PBEsol optimized geometry; E_tot = -3.386 eV/atom; D(E_F) = 2.4 states/eV/f.u.; crystal system = orthorhombic; ΔH_f (0 K) = 0.3030 eV/atom
1.0
-1.4419 2.2427 4.9576
1.4419 -2.2427 4.9576
1.4419 2.2427 -4.9576
Tl Zn Fe
1 2 1
Cartesian
0.0000 0.0000 0.0000
1.4419 0.0000 2.8461
0.0000 2.2427 2.1115
0.0000 0.0000 4.9576

Entry 5:
Mo2Br GGA-PBEsol optimized geometry; ΔE_f (raw) = 1.087 eV per atom; E_tot = -7.382 eV/atom; D(E_F) = 3.3 states/eV/f.u.; crystal system = tetragonal
1.0
-2.9691 2.9691 2.8009
2.9691 -2.9691 2.8009
2.9691 2.9691 -2.8009
Mo Br
4 2
Cartesian
3.8086 0.8395 0.0000
0.8395 2.1296 0.0000
2.1296 0.8395 2.8009
-0.8395 2.1296 2.8009
0.0000 0.0000 1.4005
0.0000 0.0000 4.2014

Entry 6:
Y2PbSeI GGA-PBEsol optimized geometry; ΔE_f (raw) = 0.362 eV per atom; E_tot = -4.290 eV/atom; D(E_F) = 6.2 states/eV/f.u.; crystal system = tetragonal
1.0
5.5700 0.0000 0.0000
0.0000 5.5700 0.0000
0.0000 0.0000 5.6803
Y Pb Se I
2 1 1 1
Cartesian
0.0000 2.7850 0.0000
2.7850 0.0000 0.0000
0.0000 0.0000 2.8402
2.7850 2.7850 2.8402
0.0000 0.0000 0.0000